## Sm6C2N (PBE)

Data for an optimized crystal structure of Sm6C2N.

Calculated values
Symmetry = C2/m, No. 12
Energy relative to the elements, uncorrected = -0.43 eV per atom
Calculated total energy = -0.24071 Ha/atom

Lattice parameters (Å, degrees): 8.4582 8.4582 7.6067 106.54 106.54 24.87
With the nearest neighbours (Å) after each atom.
Atoms (fractional coordinates):
Sm (0.0066, 0.0066, 0.2296)  1 C 2.50, 2 N 2.50
Sm (0.3268, 0.3268, 0.4337)  3 C 2.54-2.56
Sm (0.3424, 0.3424, 0.9024)  1 N 2.49, 2 C 2.51
Sm (0.6576, 0.6576, 0.0976)  1 N 2.49, 2 C 2.51
Sm (0.6732, 0.6732, 0.5663)  3 C 2.54-2.56
Sm (0.9934, 0.9934, 0.7704)  1 C 2.50, 2 N 2.50
C (0.1646, 0.1646, 0.3295)  6 Sm 2.50-2.56
C (0.8354, 0.8354, 0.6705)  6 Sm 2.50-2.56
N (0.5000, 0.5000, 0.0000)  6 Sm 2.49-2.50



## Nd3Er5Sc2 (PBE)

Data for an optimized crystal structure of Nd3Er5Sc2.

Calculated values
Symmetry = P-1, No. 2
Energy of formation = 1.88 eV/f.u.
Calculated total energy = -0.17604 Ha/atom

Lattice parameters (Å, degrees): 9.0530 9.0676 9.6499 108.77 108.66 108.44
With the nearest neighbours (Å) after each atom.
Atoms (fractional coordinates):
Nd (0.0138, 0.2641, 0.0278)  4 Sc 3.27-3.64, 3 Er 3.30-3.64, 2 Nd 3.52
Nd (0.2236, 0.7695, 0.7473)  1 Sc 3.01, 3 Er 3.26-3.37
Nd (0.4762, 0.5219, 0.2525)  1 Sc 3.01, 3 Er 3.26-3.37
Nd (0.5238, 0.4781, 0.7475)  1 Sc 3.01, 3 Er 3.26-3.37
Nd (0.7764, 0.2305, 0.2527)  1 Sc 3.01, 3 Er 3.26-3.37
Nd (0.9862, 0.7359, 0.9722)  4 Sc 3.27-3.64, 3 Er 3.30-3.64, 2 Nd 3.52
Er (0.1104, 0.3466, 0.7141)  2 Sc 3.34-3.46, 3 Nd 3.42-3.64, 2 Er 3.43-3.50
Er (0.2183, 0.4683, 0.4366)  5 Nd 3.30-3.37, 2 Sc 3.31, 2 Er 3.50
Er (0.2804, 0.0305, 0.5609)  3 Er 3.15-3.43, 4 Sc 3.16-3.32, 2 Nd 3.41-3.42
Er (0.3962, 0.1328, 0.2858)  2 Sc 3.34-3.46, 3 Nd 3.42-3.64, 2 Er 3.43-3.50
Er (0.4758, 0.2257, 0.9513)  1 Er 3.15, 4 Nd 3.26-3.48
Er (0.5242, 0.7743, 0.0487)  1 Er 3.15, 4 Nd 3.26-3.48
Er (0.6038, 0.8672, 0.7142)  2 Sc 3.34-3.46, 3 Nd 3.42-3.64, 2 Er 3.43-3.50
Er (0.7196, 0.9695, 0.4391)  3 Er 3.15-3.43, 4 Sc 3.16-3.32, 2 Nd 3.41-3.42
Er (0.7817, 0.5317, 0.5634)  5 Nd 3.30-3.37, 2 Sc 3.31, 2 Er 3.50
Er (0.8896, 0.6534, 0.2859)  2 Sc 3.34-3.46, 3 Nd 3.42-3.64, 2 Er 3.43-3.50
Sc (0.0096, 0.9641, 0.7247)  2 Nd 3.01-3.27, 4 Er 3.17-3.34
Sc (0.2857, 0.7400, 0.2758)  2 Nd 3.01-3.27, 4 Er 3.16-3.34
Sc (0.7143, 0.2600, 0.7242)  2 Nd 3.01-3.27, 4 Er 3.16-3.34
Sc (0.9904, 0.0359, 0.2753)  2 Nd 3.01-3.27, 4 Er 3.17-3.34



## LiLa2BeIr (PBE)

Data for an optimized crystal structure of LiLa2BeIr.

Calculated values
Symmetry = P4/mmm, No. 123
Energy of formation = -0.88 eV/f.u.
Polymorph energy (0 for the lowest one) = 0.0 meV/atom
Calculated total energy = -0.18551 Ha/atom

Lattice parameters (Å, degrees): 5.5852 5.5852 4.4940 90.00 90.00 90.00
With the nearest neighbours (Å) after each atom.
Atoms (fractional coordinates):
Li (0.0000, 0.0000, 0.0000)  8 La 3.58, 4 Be 3.95
La (0.0000, 0.5000, 0.5000)  2 Ir 2.79
La (0.5000, 0.0000, 0.5000)  2 Ir 2.79
Be (0.5000, 0.5000, 0.0000)  2 Ir 2.25
Ir (0.5000, 0.5000, 0.5000)  2 Be 2.25